Entry 1:
The following is a SCAN calculation of a PBEsol-optimized structure of CrH2Se, from Alexandria via LeMat-Bulk.

Structure (POSCAR):
```
CrH2Se
1.0
-3.2600 -0.8733 -1.2120
1.3156 -0.3005 -3.3224
2.2013 -5.4323 3.2983
Cr Se H
2 2 4
direct
0.5000 0.5000 0.0000 Cr
0.7500 0.2500 0.5000 Cr
0.0000 0.0000 0.0000 Se
0.2500 0.7500 0.5000 Se
0.6250 0.3750 0.7500 H
0.1250 0.3750 0.7500 H
0.6250 0.8750 0.2500 H
0.6250 0.3750 0.2500 H
```

V: 80 Å³/cell
DFT total energy: -11.07 eV per atom

=====

Entry 2:
The following is a SCAN calculation of a PBEsol-optimized structure of KLi2Y, from Alexandria via LeMat-Bulk.

Structure (POSCAR):
```
KLi2Y
1.0
-2.5725 0.6762 -2.0303
-3.5148 -3.7975 3.1886
0.6044 5.2427 3.7379
K Li Y
1 2 1
direct
0.2716 0.8110 0.5432 K
0.0287 0.9728 0.0573 Li
0.7222 0.2862 0.4444 Li
0.4776 0.4300 0.9551 Y
```

V: 122 Å³/cell
E_form: 0.30 eV/atom

=====

Entry 3:
The following is a SCAN calculation of a PBEsol-optimized structure of RbTi2ZnCl, from Alexandria via LeMat-Bulk.

Structure (POSCAR):
```
RbTi2ZnCl
1.0
-0.2814 4.5084 -3.0636
-4.9231 1.1437 2.1352
2.4057 2.8734 4.0075
Zn Cl Rb Ti
1 1 1 2
direct
0.5000 0.5000 0.5000 Zn
0.5000 0.0000 0.0000 Cl
0.0000 0.0000 0.0000 Rb
0.0000 0.0000 0.5000 Ti
0.0000 0.5000 0.0000 Ti
```

V: 164 Å³/cell
Energy relative to the elements, uncorrected: 1403 meV/atom

=====

Entry 4:
The following is a SCAN calculation of a PBEsol-optimized structure of ZnNiH2Os, from Alexandria via LeMat-Bulk.

Structure (POSCAR):
```
ZnNiH2Os
1.0
-0.4823 -3.3316 0.2294
2.0636 -0.4796 -2.6261
3.4953 -0.3130 2.8038
Ni Zn Os H
1 1 1 2
direct
0.0000 0.0000 0.0000 Ni
0.0000 0.0000 0.5000 Zn
0.5000 0.5000 0.5000 Os
0.0000 0.5000 0.0000 H
0.5000 0.0000 0.0000 H
```

V: 51 Å³/cell
DFT total energy: -20.68 eV per atom

=====

Entry 5:
The following is a SCAN calculation of a PBEsol-optimized structure of LaTe2RuN, from Alexandria via LeMat-Bulk.

Structure (POSCAR):
```
LaTe2RuN
1.0
3.9573 0.0000 0.0000
0.0000 6.1270 0.0000
0.0000 0.0000 6.1270
Ru N Te La
1 1 2 1
direct
0.5000 0.5000 0.5000 Ru
0.5000 0.0000 0.0000 N
0.0000 0.0000 0.5000 Te
0.0000 0.5000 0.0000 Te
0.0000 0.0000 0.0000 La
```

V: 149 Å³/cell
Energy relative to the elements, uncorrected: 888 meV/atom

=====

Entry 6:
The following is a SCAN calculation of a PBEsol-optimized structure of KScPt2, from Alexandria via LeMat-Bulk.

Structure (POSCAR):
```
KScPt2
1.0
3.1848 0.0000 0.0000
0.0000 3.1848 0.0000
0.0000 0.0000 7.9815
K Pt Sc
1 2 1
direct
0.5000 0.5000 0.5000 K
0.0000 0.0000 0.8071 Pt
0.0000 0.0000 0.1929 Pt
0.5000 0.5000 0.0000 Sc
```

V: 81 Å³/cell
E_form: -0.81 eV/atom

=====

Entry 7:
The following is a SCAN calculation of a PBEsol-optimized structure of SrTa2Pt, from Alexandria via LeMat-Bulk.

Structure (POSCAR):
```
SrTa2Pt
1.0
-0.0391 3.6182 -2.9809
-1.1968 -0.6692 -4.4831
-4.0752 1.6653 -1.6119
Pt Sr Ta
1 1 2
direct
0.0000 0.0000 0.0000 Pt
0.5000 0.5000 0.5000 Sr
0.2500 0.2500 0.2500 Ta
0.7500 0.7500 0.7500 Ta
```

V: 73 Å³/cell
Polymorph energy (0 for the lowest one): 0.277 eV/atom
E_form: 0.61 eV/atom

=====

Entry 8:
The following is a SCAN calculation of a PBEsol-optimized structure of YCdAu, from Alexandria via LeMat-Bulk.

Structure (POSCAR):
```
YCdAu
1.0
-2.7156 2.8093 -0.2756
-3.6731 -4.0689 -5.2826
-1.6925 -0.9135 7.3657
Y Au Cd
3 3 3
direct
0.0000 0.0000 0.5959 Y
0.0000 0.5959 0.0000 Y
0.0000 0.4041 0.4041 Y
0.5000 0.3333 0.6667 Au
0.5000 0.6667 0.3333 Au
0.0000 0.0000 0.0000 Au
0.5000 0.0000 0.2598 Cd
0.5000 0.2598 0.0000 Cd
0.5000 0.7402 0.7402 Cd
```

V: 197 Å³/cell
E_form: -0.88 eV/atom